{"formula": "RbS4Br", "functional": "GGA-PBE", "state": "relaxed", "crystal_system": "triclinic", "spacegroup": "P-1", "formation_energy_uncorrected_kj_per_mol_atoms": -34, "cell": [[4.202, -1.204, -0.845], [-2.208, 7.808, 7.830], [-1.852, 5.651, 12.579]], "species": ["S", "S", "S", "S", "Rb", "Br"], "frac_coords": [[0.590, 0.271, 0.782], [0.904, 0.508, 0.302], [0.413, 0.734, 0.221], [0.099, 0.498, 0.702], [0.501, 0.503, 0.002], [0.001, 0.003, 0.502]]}